1.
Compound: GaAuSN2
Source: Alexandria
Functional: PBE
Structure: optimized geometry

Its final energy is -19.3 eV/cell. Its spin magnetization is 0.727 Bohr magnetons per cell. The value obtained for the formation energy from raw total energies is 36.01 kcal/mol of atoms. The value obtained for the offset from the most stable computed form is 0.266 eV/atom.

The structure belongs to space group P4/mmm (No. 123); the cell edges are 3.800, 3.800 and 8.065 Å and the angles 90.00°, 90.00° and 90.00°. The distinct sites, in fractional coordinates, are Ga at (0.000, 0.000, 0.000), Au at (0.500, 0.500, 0.500), S at (0.500, 0.500, 0.000) and N at (0.000, 0.500, 0.500).

=====

2.
Compound: GaAu2SN
Source: Alexandria
Functional: PBE
Structure: optimized geometry

Its final energy is -18.4 eV/cell. Its spin magnetization is 0.000 Bohr magnetons per cell. The value obtained for the formation energy from raw total energies is 16.70 kcal/mol of atoms.

The structure belongs to space group P4/mmm (No. 123); the cell edges are 4.011, 4.011 and 7.383 Å and the angles 90.00°, 90.00° and 90.00°. The distinct sites, in fractional coordinates, are Ga at (0.000, 0.000, 0.000), Au at (0.000, 0.500, 0.500), S at (0.500, 0.500, 0.000) and N at (0.500, 0.500, 0.500).

=====

3.
Compound: GaAuSe2N
Source: Alexandria
Functional: PBE
Structure: optimized geometry

Its final energy is -17.5 eV/cell. Its spin magnetization is 2.152 Bohr magnetons per cell. The value obtained for the formation energy from raw total energies is 18.81 kcal/mol of atoms. The value obtained for the offset from the most stable computed form is 0.000 eV/atom.

The structure belongs to space group P4/mmm (No. 123); the cell edges are 5.239, 5.239 and 3.597 Å and the angles 90.00°, 90.00° and 90.00°. The distinct sites, in fractional coordinates, are Ga at (0.000, 0.000, 0.000), Au at (0.500, 0.500, 0.500), Se at (0.000, 0.500, 0.000) and N at (0.000, 0.000, 0.500).